Record 1
Here is crystalline Na3Cd4Pb at its relaxed geometry from Alexandria. Energies are from PBE.

The density of states at the Fermi level comes out at 6.3 states/eV/cell. The calculation puts the formation energy at -0.1002 eV per atom. As for the energy above the most stable polymorph in this dataset: 0.0000 eV/atom.

The structure belongs to space group C2/m (No. 12); the cell edges are 16.466, 5.094 and 5.076 Å and the angles 90.00°, 107.86° and 90.00°. The asymmetric unit holds Na at (0.000, 0.000, 0.000), Na at (0.131, 0.000, 0.631), Cd at (0.137, 0.500, 0.136), Cd at (0.249, 0.000, 0.248) and Pb at (0.000, 0.500, 0.500).

Record 2
Here is crystalline Na12CdPb7 at its relaxed geometry from Alexandria. Energies are from PBE.

The density of states at the Fermi level comes out at 29.6 states/eV/cell. The calculation puts the formation energy at -0.0849 eV per atom.

The structure belongs to space group R-3 (No. 148, hexagonal axes); the cell edges are 14.3553, 14.3553 and 10.2403 Å and the angles 90.00°, 90.00° and 120.00°. The asymmetric unit holds Na at (0.0021, 0.7694, 0.0506), Na at (0.0711, 0.8154, 0.4372), Cd at (0.0000, 0.0000, 0.5000), Pb at (0.0000, 0.0000, 0.0000) and Pb at (0.0360, 0.8749, 0.7403).

Record 3
Here is crystalline NaCd2PdPb at its relaxed geometry from Alexandria. Energies are from PBE.

The density of states at the Fermi level comes out at 2.0 states/eV/cell. The calculation puts the formation energy at -0.0707 eV per atom.

The structure belongs to space group P4/mmm (No. 123); the cell edges are 5.275, 5.275 and 5.271 Å and the angles 90.00°, 90.00° and 90.00°. The asymmetric unit holds Na at (0.000, 0.000, 0.000), Cd at (0.000, 0.500, 0.500), Pd at (0.500, 0.500, 0.500) and Pb at (0.500, 0.500, 0.000).

Record 4
Here is crystalline Na2Cd2Pd5Pb at its relaxed geometry from Alexandria. Energies are from PBE.

The density of states at the Fermi level comes out at 8.4 states/eV/cell. The calculation puts the formation energy at -0.2216 eV per atom.

The structure belongs to space group P4/mbm (No. 127); the cell edges are 9.776, 9.776 and 4.110 Å and the angles 90.00°, 90.00° and 90.00°. The asymmetric unit holds Na at (0.171, 0.329, 0.000), Cd at (0.128, 0.628, 0.000), Pd at (0.000, 0.500, 0.500), Pd at (0.064, 0.801, 0.500) and Pb at (0.000, 0.000, 0.000).

E_tot for every record listed, in sequence, given in eV per atom: -1.516, -2.220, -2.481, -3.636.